(1)
{"formula": "TiH2", "functional": "PBE-GGA", "state": "relaxed", "lattice": [[-2.363, -1.981, 2.671], [-2.535, -2.922, -1.294], [0.764, -3.906, 0.893]], "species": ["H", "H", "Ti", "H", "H", "Ti"], "frac_coords": [[0.125, 0.625, 0.625], [0.625, 0.625, 0.625], [0.250, 0.250, 0.250], [0.625, 0.125, 0.625], [0.625, 0.625, 0.125], [0.000, 0.000, 0.000]], "dos_at_fermi_per_ev_atom": 0.24, "volume_a3_per_cell": 47.99, "magnetic_moment_mub_per_fu": 1.90, "spacegroup": "Fd-3m"}

(2)
{"formula": "Ti2H3", "functional": "PBE-GGA", "state": "relaxed", "lattice": [[3.067, 0.000, 0.000], [0.000, 3.067, 0.000], [0.000, 0.000, 4.399]], "species": ["Ti", "H", "H", "H", "Ti"], "frac_coords": [[0.500, 0.000, 0.741], [0.500, 0.500, 0.000], [0.000, 0.000, 0.500], [0.000, 0.000, 0.000], [0.000, 0.500, 0.259]], "polymorph_energy_mev_per_atom": 3, "dos_at_fermi_per_ev_atom": 0.48, "volume_a3_per_cell": 41.38, "magnetic_moment_mub_per_fu": 0.00, "spacegroup": "P-4m2"}

(3)
{"formula": "Ti6H5", "functional": "PBE-GGA", "state": "relaxed", "lattice": [[-2.814, -3.883, -1.532], [-1.506, -3.524, 3.428], [-4.793, 1.411, 0.419]], "species": ["H", "H", "Ti", "H", "H", "Ti", "Ti", "H", "Ti", "Ti", "Ti"], "frac_coords": [[0.667, 0.665, 0.000], [0.834, 0.333, 0.500], [0.413, 0.670, 0.755], [0.333, 0.335, 0.000], [0.500, 0.000, 0.500], [0.083, 0.330, 0.755], [0.755, 0.000, 0.746], [0.166, 0.667, 0.500], [0.587, 0.330, 0.245], [0.245, 0.000, 0.254], [0.917, 0.670, 0.245]], "dos_at_fermi_per_ev_atom": 0.95, "volume_a3_per_cell": 108.25, "magnetic_moment_mub_per_fu": 0.00, "spacegroup": "C2/m"}

(4)
{"formula": "Ti3H4", "functional": "PBE-GGA", "state": "relaxed", "lattice": [[5.595, 0.014, 0.010], [2.786, 4.853, 0.010], [2.786, 1.618, 4.575]], "species": ["Ti", "H", "Ti", "Ti", "Ti", "H", "H", "H", "Ti", "H", "H", "Ti", "H", "H"], "frac_coords": [[0.500, 0.500, 0.000], [0.262, 0.262, 0.262], [0.875, 0.875, 0.875], [0.000, 0.500, 0.500], [0.500, 0.500, 0.500], [0.262, 0.713, 0.262], [0.262, 0.262, 0.713], [0.738, 0.738, 0.738], [0.125, 0.125, 0.125], [0.738, 0.287, 0.738], [0.713, 0.262, 0.262], [0.500, 0.000, 0.500], [0.287, 0.738, 0.738], [0.738, 0.738, 0.287]], "polymorph_energy_mev_per_atom": 0, "dos_at_fermi_per_ev_atom": 0.42, "volume_a3_per_cell": 123.88, "magnetic_moment_mub_per_fu": 0.00, "spacegroup": "Fd-3m"}

(5)
{"formula": "Ti4H", "functional": "PBE-GGA", "state": "relaxed", "lattice": [[-1.688, -3.404, 1.607], [2.625, 0.198, 3.176], [-2.698, 2.322, 2.085]], "species": ["Ti", "Ti", "Ti", "Ti", "H"], "frac_coords": [[0.500, 0.500, 0.000], [0.500, 0.000, 0.500], [0.000, 0.000, 0.000], [0.000, 0.500, 0.500], [0.500, 0.500, 0.500]], "dos_at_fermi_per_ev_atom": 1.66, "volume_a3_per_cell": 70.21, "magnetic_moment_mub_per_fu": 0.00, "spacegroup": "Pm-3m"}

(6)
{"formula": "TiH5", "functional": "PBE-GGA", "state": "relaxed", "lattice": [[-2.775, -1.002, -0.707], [0.276, -2.230, 2.077], [-1.410, 3.051, 1.209]], "species": ["H", "H", "H", "H", "Ti", "H"], "frac_coords": [[0.000, 0.309, 0.619], [0.500, 0.846, 0.692], [0.500, 0.154, 0.308], [0.000, 0.691, 0.381], [0.000, 0.000, 0.000], [0.500, 0.500, 0.000]], "dos_at_fermi_per_ev_atom": 0.11, "volume_a3_per_cell": 29.96, "magnetic_moment_mub_per_fu": 0.00, "spacegroup": "Cmmm"}

(7)
{"formula": "Ti2H3", "functional": "PBE-GGA", "state": "relaxed", "lattice": [[-3.590, -2.431, 0.013], [2.347, -3.471, -1.115], [0.643, -0.927, 4.237]], "species": ["Ti", "H", "H", "Ti", "H", "H", "Ti", "H", "H", "Ti"], "frac_coords": [[0.738, 0.262, 0.000], [0.000, 0.500, 0.250], [0.500, 0.000, 0.750], [0.738, 0.738, 0.500], [0.000, 0.500, 0.750], [0.500, 0.000, 0.250], [0.262, 0.262, 0.500], [0.000, 0.000, 0.250], [0.000, 0.000, 0.750], [0.262, 0.738, 0.000]], "polymorph_energy_mev_per_atom": 0, "dos_at_fermi_per_ev_atom": 0.19, "volume_a3_per_cell": 82.42, "magnetic_moment_mub_per_fu": 0.00, "spacegroup": "P4_2/mcm"}

(8)
{"formula": "TiH2", "functional": "PBE-GGA", "state": "relaxed", "lattice": [[-1.306, -1.373, -2.200], [2.266, 0.592, -1.715], [2.109, -4.169, 1.349]], "species": ["Ti", "Ti", "H", "H", "H", "H"], "frac_coords": [[0.000, 0.500, 0.736], [0.500, 0.000, 0.264], [0.000, 0.000, 0.000], [0.500, 0.500, 0.000], [0.500, 0.000, 0.653], [0.000, 0.500, 0.347]], "dos_at_fermi_per_ev_atom": 0.35, "volume_a3_per_cell": 40.98, "magnetic_moment_mub_per_fu": 0.00, "spacegroup": "P4/nmm"}

How do the records compare in total DFT energy (no corrections)? In the order shown, they have -4.32 -5.62 -6.13 -5.71 -7.07 -4.02 -5.62 -5.29 eV/atom.